This record from the Alexandria database describes a relaxed La2TiTl2 crystal. The functional is PBE.

## Properties
distance to the lowest polymorph of the same formula: 289 meV/atom
total magnetic moment: 3.9 μB per cell
energy relative to the elements: 0.21 eV per atom
DOS(E_F): 7.20 states/eV/cell

abc: 8.258 8.258 4.575
angles: 90.00 90.00 90.00
Each line ends with the local moment (μB).
Positions (direct):
Tl (0.153, 0.653, 0.500)  0.01
Tl (0.653, 0.847, 0.500)  0.01
La (0.152, 0.348, 0.000)  -0.10
Ti (0.500, 0.500, 0.000)  -1.43
La (0.652, 0.152, 0.000)  -0.09
La (0.348, 0.848, 0.000)  -0.09
Tl (0.847, 0.347, 0.500)  0.01
La (0.848, 0.652, 0.000)  -0.10
Tl (0.347, 0.153, 0.500)  0.01
Ti (0.000, 0.000, 0.000)  -1.42

This record from the Alexandria database describes a relaxed La2TiTl2 crystal. The functional is PBE.

## Properties
distance to the lowest polymorph of the same formula: 408 meV/atom
total magnetic moment: 2.8 μB per cell
energy relative to the elements: 0.33 eV per atom
DOS(E_F): 8.43 states/eV/cell

abc: 4.211 4.211 9.691
angles: 77.45 77.45 90.00
Each line ends with the local moment (μB).
Positions (direct):
Tl (0.750, 0.250, 0.500)  0.00
La (0.408, 0.408, 0.184)  0.17
Tl (0.250, 0.750, 0.500)  0.00
La (0.592, 0.592, 0.816)  0.17
Ti (0.000, 0.000, 0.000)  1.58

This record from the Alexandria database describes a relaxed LaTi2Tl crystal. The functional is PBE.

## Properties
distance to the lowest polymorph of the same formula: 234 meV/atom
total magnetic moment: 3.9 μB per cell
energy relative to the elements: 0.47 eV per atom
DOS(E_F): 5.97 states/eV/cell

abc: 4.438 4.438 10.733
angles: 78.07 78.07 90.00
Each line ends with the local moment (μB).
Positions (direct):
Ti (0.875, 0.900, 0.750)  0.80
Tl (0.750, 0.250, 0.500)  -0.03
La (0.500, 0.500, 0.000)  0.04
Tl (0.000, 0.000, 0.000)  -0.03
La (0.250, 0.750, 0.500)  0.04
Ti (0.375, 0.350, 0.750)  0.80
Ti (0.100, 0.625, 0.250)  0.80
Ti (0.650, 0.125, 0.250)  0.80

This record from the Alexandria database describes a relaxed LaTiTl3 crystal. The functional is PBE.

## Properties
distance to the lowest polymorph of the same formula: 1064 meV/atom
total magnetic moment: 3.0 μB per cell
energy relative to the elements: 1.12 eV per atom
DOS(E_F): 13.44 states/eV/cell

abc: 6.026 6.026 6.026
angles: 90.00 90.00 90.00
Each line ends with the local moment (μB).
Positions (direct):
Tl (0.000, 0.500, 0.000)  0.04
Tl (0.000, 0.000, 0.500)  0.03
Ti (0.500, 0.500, 0.500)  2.06
Tl (0.500, 0.000, 0.000)  0.01
La (0.000, 0.000, 0.000)  0.03

This record from the Alexandria database describes a relaxed La2TiTl2 crystal. The functional is PBE.

## Properties
distance to the lowest polymorph of the same formula: 0 meV/atom
total magnetic moment: 4.0 μB per cell
energy relative to the elements: -0.08 eV per atom
DOS(E_F): 13.23 states/eV/cell

abc: 7.931 7.931 4.768
angles: 90.00 90.00 90.00
Each line ends with the local moment (μB).
Positions (direct):
Tl (0.643, 0.143, 0.000)  0.02
La (0.664, 0.836, 0.500)  -0.04
Ti (0.000, 0.000, 0.000)  -1.31
La (0.836, 0.336, 0.500)  -0.04
Tl (0.143, 0.357, 0.000)  0.02
Tl (0.857, 0.643, 0.000)  0.02
Tl (0.357, 0.857, 0.000)  0.02
La (0.164, 0.664, 0.500)  -0.04
Ti (0.500, 0.500, 0.000)  -1.32
La (0.336, 0.164, 0.500)  -0.04

This record from the Alexandria database describes a relaxed La3TiTl crystal. The functional is PBE.

## Properties
total magnetic moment: 0.0 μB per cell
energy relative to the elements: 0.27 eV per atom
DOS(E_F): 6.13 states/eV/cell

abc: 5.525 5.525 5.525
angles: 90.00 90.00 90.00
Positions (direct):
La (0.500, 0.000, 0.000)
Ti (0.000, 0.000, 0.000)
Tl (0.500, 0.500, 0.500)
La (0.000, 0.500, 0.000)
La (0.000, 0.000, 0.500)

This record from the Alexandria database describes a relaxed La2TmTi crystal. The functional is PBE.

## Properties
distance to the lowest polymorph of the same formula: 237 meV/atom
total magnetic moment: 0.3 μB per cell
energy relative to the elements: 0.44 eV per atom
DOS(E_F): 7.38 states/eV/cell

abc: 3.367 3.367 12.020
angles: 81.95 81.95 60.00
Each line ends with the local moment (μB).
Positions (direct):
Ti (0.000, 0.000, 0.000)  0.29
Tm (0.500, 0.500, 0.500)  -0.04
La (0.920, 0.920, 0.241)  0.01
La (0.080, 0.080, 0.759)  0.01

This record from the Alexandria database describes a relaxed La2TmTi crystal. The functional is PBE.

## Properties
distance to the lowest polymorph of the same formula: 0 meV/atom
total magnetic moment: 0.0 μB per cell
energy relative to the elements: 0.20 eV per atom
DOS(E_F): 4.70 states/eV/cell

abc: 3.557 3.557 9.274
angles: 90.00 90.00 90.00
Positions (direct):
La (0.000, 0.000, 0.227)
Tm (0.500, 0.500, 0.500)
Ti (0.500, 0.500, 0.000)
La (0.000, 0.000, 0.773)